1.
An optimized crystal structure of Pr3Ga4Ir2. Source: Alexandria via LeMat-Bulk, functional GGA-PBE.

The structure belongs to space group C2/m (No. 12); the cell edges are 11.080, 4.458 and 8.459 Å and the angles 90.00°, 107.25° and 90.00°. The inequivalent atoms are Pr at (0.000, 0.000, 0.000), Pr at (0.121, 0.500, 0.695), Ga at (0.102, 0.000, 0.410), Ga at (0.220, 0.500, 0.078) and Ir at (0.183, 0.500, 0.357).

=====

2.
An optimized crystal structure of Pr3Ga4Ir2. Source: Alexandria via LeMat-Bulk, functional GGA-PBE.

The structure belongs to space group C2/m (No. 12); the cell edges are 11.306, 4.305 and 8.731 Å and the angles 90.00°, 109.51° and 90.00°. The inequivalent atoms are Pr at (0.000, 0.000, 0.000), Pr at (0.182, 0.500, 0.643), Ga at (0.030, 0.000, 0.364), Ga at (0.232, 0.500, 0.072) and Ir at (0.107, 0.500, 0.271).

=====

2 is preferred energetically. Next in line: 1.0 kJ/mol of atoms higher.